# 1
LaCuSnO2 | PBE | optimized geometry

* E_form (uncorrected): -4.296 eV per formula unit
* space group: P4/mmm (123)

Unit cell a=4.3830 b=4.3830 c=5.8455 alpha=90.00 beta=90.00 gamma=90.00
Closest atoms and distances in Å follow each position.
Fractional coordinates of all 5 atoms:
La 0.0000 0.0000 0.0000  4 O 2.19
Cu 0.0000 0.0000 0.5000  2 La 2.92, 4 Sn 3.10
Sn 0.5000 0.5000 0.5000  4 Cu 3.10
O 0.0000 0.5000 0.0000  2 La 2.19
O 0.5000 0.0000 0.0000  2 La 2.19



# 2
PrSmDyTm | PBE | optimized geometry

* formation enthalpy at 0 K: 112 meV per atom
* space group: Cm (8)

Unit cell a=6.8959 b=6.8959 c=3.7663 alpha=105.39 beta=105.39 gamma=50.58
Closest atoms and distances in Å follow each position.
Fractional coordinates of all 4 atoms:
Pr 0.0000 0.0000 0.0000  2 Tm 3.43-3.54, 4 Dy 3.47-3.54, 2 Sm 3.60-3.81, 2 Pr 3.77
Sm 0.2675 0.2675 0.8149  4 Tm 3.47-3.53, 2 Dy 3.48-3.58, 2 Pr 3.60-3.81, 2 Sm 3.77
Dy 0.5176 0.5176 0.5331  2 Tm 3.34-3.44, 4 Pr 3.47-3.54, 2 Sm 3.48-3.58
Tm 0.7541 0.7541 0.2865  2 Dy 3.34-3.44, 2 Pr 3.43-3.54, 4 Sm 3.47-3.53



# 3
KVCl3 | PBE | optimized geometry

* E_form (uncorrected): -7.335 eV per formula unit
* space group: Pnma (62)

Unit cell a=8.8231 b=3.8272 c=14.5228 alpha=90.00 beta=90.00 gamma=90.00
Closest atoms and distances in Å follow each position.
Fractional coordinates of all 20 atoms:
K 0.0600 0.2500 0.1753  8 Cl 3.19-3.38
K 0.4400 0.7500 0.6753  8 Cl 3.19-3.38
K 0.5600 0.2500 0.3247  8 Cl 3.19-3.38
K 0.9400 0.7500 0.8247  8 Cl 3.19-3.38
V 0.1593 0.7500 0.4475  6 Cl 2.44-2.54
V 0.3407 0.2500 0.9475  6 Cl 2.44-2.54
V 0.6593 0.7500 0.0525  6 Cl 2.44-2.54
V 0.8407 0.2500 0.5525  6 Cl 2.44-2.54
Cl 0.0160 0.7500 0.5964  3 V 2.51-2.54
Cl 0.1798 0.7500 0.0020  2 V 2.51
Cl 0.2251 0.2500 0.7947  1 V 2.44
Cl 0.2749 0.7500 0.2947  1 V 2.44
Cl 0.3202 0.2500 0.5020  2 V 2.51
Cl 0.4840 0.2500 0.0964  3 V 2.51-2.54
Cl 0.5160 0.7500 0.9036  3 V 2.51-2.54
Cl 0.6798 0.7500 0.4980  2 V 2.51
Cl 0.7251 0.2500 0.7053  1 V 2.44
Cl 0.7749 0.7500 0.2053  1 V 2.44
Cl 0.8202 0.2500 0.9980  2 V 2.51
Cl 0.9840 0.2500 0.4036  3 V 2.51-2.54



no.,energy (eV per formula unit)
1,-27.2
2,-18.1
3,-23.1